# GGA-PBE TlZnHg, optimized geometry
# - ΔH_f (0 K) (eV/atom) = 0.100
# - excess energy over the best structure of this formula in the dataset (meV/atom) = 40
# - raw total energy (eV/atom) = -1.214
# - D(E_F) (states/eV per atom) = 0.260
# - mass density (Mg/m³) = 10.5
data_TlZnHg
_chemical_formula_sum 'Tl2 Zn2 Hg2'
_symmetry_space_group_name_H-M 'I m m 2'
_symmetry_Int_Tables_number 44
_cell_length_a 3.378
_cell_length_b 3.654
_cell_length_c 12.007
_cell_angle_alpha 90.00
_cell_angle_beta 90.00
_cell_angle_gamma 90.00
loop_
_symmetry_equiv_pos_as_xyz
'x,y,z'
'-x,-y,z'
'-x,y,z'
'x,-y,z'
'x+1/2,y+1/2,z+1/2'
'-x+1/2,-y+1/2,z+1/2'
'-x+1/2,y+1/2,z+1/2'
'x+1/2,-y+1/2,z+1/2'
loop_
_atom_site_label
_atom_site_fract_x
_atom_site_fract_y
_atom_site_fract_z
Tl1 0.000 0.000 0.000
Zn1 0.000 0.000 0.673
Hg1 0.000 0.000 0.302

=====

# GGA-PBE HgAsP2, optimized geometry
# - ΔH_f (0 K) (eV/atom) = 0.490
# - excess energy over the best structure of this formula in the dataset (meV/atom) = 311
# - raw total energy (eV/atom) = -3.453
# - D(E_F) (states/eV per atom) = 0.503
# - mass density (Mg/m³) = 7.0
data_HgAsP2
_chemical_formula_sum 'Hg2 As2 P4'
_symmetry_space_group_name_H-M 'C m m 2'
_symmetry_Int_Tables_number 35
_cell_length_a 3.166
_cell_length_b 5.017
_cell_length_c 10.016
_cell_angle_alpha 90.00
_cell_angle_beta 90.00
_cell_angle_gamma 90.00
loop_
_symmetry_equiv_pos_as_xyz
'x,y,z'
'-x,-y,z'
'-x,y,z'
'x,-y,z'
'x+1/2,y+1/2,z'
'-x+1/2,-y+1/2,z'
'-x+1/2,y+1/2,z'
'x+1/2,-y+1/2,z'
loop_
_atom_site_label
_atom_site_fract_x
_atom_site_fract_y
_atom_site_fract_z
Hg1 0.000 0.000 0.000
As1 0.000 0.500 0.700
P1 0.000 0.000 0.473
P2 0.000 0.500 0.311

=====

# GGA-PBE YErTe, optimized geometry
# - excess energy over the best structure of this formula in the dataset (meV/atom) = 297
# - uncorrected formation energy (eV/atom) = -0.554
# - raw total energy (eV/atom) = -5.277
# - D(E_F) (states/eV per atom) = 1.389
# - mass density (Mg/m³) = 6.5
data_YErTe
_chemical_formula_sum 'Y4 Er4 Te4'
_symmetry_space_group_name_H-M 'P 42/m'
_symmetry_Int_Tables_number 84
_cell_length_a 9.667
_cell_length_b 9.667
_cell_length_c 4.191
_cell_angle_alpha 90.00
_cell_angle_beta 90.00
_cell_angle_gamma 90.00
loop_
_symmetry_equiv_pos_as_xyz
'x,y,z'
'-x,-y,-z'
'-y,x,z+1/2'
'y,-x,-z+1/2'
'-x,-y,z'
'x,y,-z'
'y,-x,z+1/2'
'-y,x,-z+1/2'
loop_
_atom_site_label
_atom_site_fract_x
_atom_site_fract_y
_atom_site_fract_z
Y1 0.096 0.327 0.000
Er1 0.362 0.629 0.000
Te1 0.136 0.624 0.500